LiScH after structural relaxation. Source: Alexandria, functional PBE.

Geometry as POSCAR:
```
LiScH
1.0
3.134 0.000 0.000
-1.567 2.714 0.000
0.000 0.000 5.300
Li Sc H
1 1 1
Direct
0.000 0.000 0.000
0.667 0.333 0.498
0.333 0.667 0.713
```

Output
Volume = 15.0 Å³/atom
Space group = No. 156
DFT total energy = -12.0 eV per cell

LiSc2H after structural relaxation. Source: Alexandria, functional PBE.

Geometry as POSCAR:
```
LiSc2H
1.0
6.483 0.000 0.000
0.000 6.483 0.000
0.000 0.000 6.483
Li Sc H
4 8 4
Direct
0.000 0.000 0.000
0.000 0.500 0.500
0.500 0.000 0.500
0.500 0.500 0.000
0.250 0.250 0.250
0.250 0.250 0.750
0.250 0.750 0.250
0.250 0.750 0.750
0.750 0.250 0.250
0.750 0.250 0.750
0.750 0.750 0.250
0.750 0.750 0.750
0.000 0.000 0.500
0.000 0.500 0.000
0.500 0.000 0.000
0.500 0.500 0.500
```

Output
Volume = 17.0 Å³/atom
Space group = No. 225
DFT total energy = -64.4 eV per cell

Li2ScSiH after structural relaxation. Source: Alexandria, functional PBE.

Geometry as POSCAR:
```
Li2ScSiH
1.0
3.888 0.000 0.000
0.000 3.888 0.000
0.000 0.000 4.429
Li Sc Si H
2 1 1 1
Direct
0.000 0.500 0.000
0.500 0.000 0.000
0.000 0.000 0.500
0.500 0.500 0.500
0.000 0.000 0.000
```

Output
Volume = 13.4 Å³/atom
Space group = No. 123
DFT total energy = -21.3 eV per cell

Li2ScSnH after structural relaxation. Source: Alexandria, functional PBE.

Geometry as POSCAR:
```
Li2ScSnH
1.0
4.172 0.000 0.000
0.000 4.172 0.000
0.000 0.000 4.494
Li Sc Sn H
2 1 1 1
Direct
0.000 0.500 0.000
0.500 0.000 0.000
0.000 0.000 0.500
0.500 0.500 0.500
0.000 0.000 0.000
```

Output
Volume = 15.6 Å³/atom
Space group = No. 123
DFT total energy = -20.0 eV per cell

- Which value of volume does entry 2 give?
  17.0 Å³/atom